The following is a DFT calculation (PBE) of an optimized crystal structure of BeCd2Cu.

```
data_BeCd2Cu
_chemical_formula_sum 'Be2 Cd4 Cu2'
_cell_length_a 8.998
_cell_length_b 2.930
_cell_length_c 5.027
_cell_angle_alpha 90.00
_cell_angle_beta 103.01
_cell_angle_gamma 90.00
_symmetry_space_group_name_H-M 'C 1 2/m 1'
_symmetry_Int_Tables_number 12
_symmetry_space_group_name_Hall '-C 2y'
loop_
_atom_site_label
_atom_site_type_symbol
_atom_site_fract_x
_atom_site_fract_y
_atom_site_fract_z
Be1 Be 0.000 0.000 0.000
Cd1 Cd 0.240 0.500 0.243
Cu1 Cu 0.000 0.500 0.500
```

Calculated values
energy = -2.0666 eV per atom
energy above the lowest structure with this stoichiometry = 218.2 meV per atom
energy of formation from the pure elements = 1.39 eV per formula unit
N(E_F) = 1.27 states/eV/f.u.
total magnetic moment = 0.000 μB per atom

***

The following is a DFT calculation (PBE) of an optimized crystal structure of Be2Cd2Cu.

```
data_Be2Cd2Cu
_chemical_formula_sum 'Be4 Cd4 Cu2'
_cell_length_a 6.057
_cell_length_b 6.057
_cell_length_c 3.943
_cell_angle_alpha 90.00
_cell_angle_beta 90.00
_cell_angle_gamma 90.00
_symmetry_space_group_name_H-M 'P 4/m b m'
_symmetry_Int_Tables_number 127
_symmetry_space_group_name_Hall '-P 4 2ab'
loop_
_atom_site_label
_atom_site_type_symbol
_atom_site_fract_x
_atom_site_fract_y
_atom_site_fract_z
Be1 Be 0.134 0.366 0.000
Cd1 Cd 0.172 0.672 0.500
Cu1 Cu 0.000 0.000 0.000
```

Calculated values
energy = -2.3534 eV per atom
energy of formation from the pure elements = 1.61 eV per formula unit
N(E_F) = 1.99 states/eV/f.u.
total magnetic moment = 0.000 μB per atom

***

The following is a DFT calculation (PBE) of an optimized crystal structure of DyBeCdCu.

```
data_DyBeCdCu
_chemical_formula_sum 'Dy4 Be4 Cd4 Cu4'
_cell_length_a 6.538
_cell_length_b 6.538
_cell_length_c 6.538
_cell_angle_alpha 90.00
_cell_angle_beta 90.00
_cell_angle_gamma 90.00
_symmetry_space_group_name_H-M 'F -4 3 m'
_symmetry_Int_Tables_number 216
_symmetry_space_group_name_Hall 'F -4 2 3'
loop_
_atom_site_label
_atom_site_type_symbol
_atom_site_fract_x
_atom_site_fract_y
_atom_site_fract_z
Dy1 Dy 0.000 0.000 0.000
Be1 Be 0.250 0.250 0.750
Cd1 Cd 0.000 0.000 0.500
Cu1 Cu 0.250 0.250 0.250
```

Calculated values
energy = -3.3974 eV per atom
energy of formation from the pure elements = -0.25 eV per formula unit
N(E_F) = 2.37 states/eV/f.u.
total magnetic moment = 0.000 μB per atom

***

The following is a DFT calculation (PBE) of an optimized crystal structure of ErBeCdCu.

```
data_ErBeCdCu
_chemical_formula_sum 'Er4 Be4 Cd4 Cu4'
_cell_length_a 6.500
_cell_length_b 6.500
_cell_length_c 6.500
_cell_angle_alpha 90.00
_cell_angle_beta 90.00
_cell_angle_gamma 90.00
_symmetry_space_group_name_H-M 'F -4 3 m'
_symmetry_Int_Tables_number 216
_symmetry_space_group_name_Hall 'F -4 2 3'
loop_
_atom_site_label
_atom_site_type_symbol
_atom_site_fract_x
_atom_site_fract_y
_atom_site_fract_z
Er1 Er 0.000 0.000 0.000
Be1 Be 0.250 0.250 0.250
Cd1 Cd 0.000 0.000 0.500
Cu1 Cu 0.250 0.250 0.750
```

Calculated values
energy = -3.3880 eV per atom
energy of formation from the pure elements = -0.25 eV per formula unit
N(E_F) = 2.42 states/eV/f.u.
total magnetic moment = 0.000 μB per atom

***

The following is a DFT calculation (PBE) of an optimized crystal structure of HfBeCd2Cu.

```
data_HfBeCd2Cu
_chemical_formula_sum 'Hf1 Be1 Cd2 Cu1'
_cell_length_a 4.488
_cell_length_b 4.488
_cell_length_c 4.776
_cell_angle_alpha 90.00
_cell_angle_beta 90.00
_cell_angle_gamma 90.00
_symmetry_space_group_name_H-M 'P 4/m m m'
_symmetry_Int_Tables_number 123
_symmetry_space_group_name_Hall '-P 4 2'
loop_
_atom_site_label
_atom_site_type_symbol
_atom_site_fract_x
_atom_site_fract_y
_atom_site_fract_z
Hf1 Hf 0.000 0.000 0.000
Be1 Be 0.000 0.000 0.500
Cd1 Cd 0.000 0.500 0.500
Cu1 Cu 0.500 0.500 0.000
```

Calculated values
energy = -3.4182 eV per atom
energy of formation from the pure elements = 2.51 eV per formula unit
N(E_F) = 2.94 states/eV/f.u.
total magnetic moment = 0.000 μB per atom

***

The following is a DFT calculation (PBE) of an optimized crystal structure of HfBeCdCu.

```
data_HfBeCdCu
_chemical_formula_sum 'Hf4 Be4 Cd4 Cu4'
_cell_length_a 6.282
_cell_length_b 6.282
_cell_length_c 6.282
_cell_angle_alpha 90.00
_cell_angle_beta 90.00
_cell_angle_gamma 90.00
_symmetry_space_group_name_H-M 'F -4 3 m'
_symmetry_Int_Tables_number 216
_symmetry_space_group_name_Hall 'F -4 2 3'
loop_
_atom_site_label
_atom_site_type_symbol
_atom_site_fract_x
_atom_site_fract_y
_atom_site_fract_z
Hf1 Hf 0.000 0.000 0.000
Be1 Be 0.250 0.250 0.750
Cd1 Cd 0.000 0.000 0.500
Cu1 Cu 0.250 0.250 0.250
```

Calculated values
energy = -4.6367 eV per atom
energy of formation from the pure elements = 0.14 eV per formula unit
N(E_F) = 1.86 states/eV/f.u.
total magnetic moment = 0.000 μB per atom